This record from Alexandria describes MgIn at its PBEsol-relaxed geometry. The functional is SCAN.

Calculated values
Total DFT energy (no corrections) (eV per atom): -19.349
DFT formation energy (eV per atom): -0.169
Magnetization (μB per cell): 0.0

```
MgIn
1.0
-0.439 -1.043 -3.132
5.146 0.063 -0.742
0.294 -4.976 1.615
Mg In
2 2
Cartesian
3.695 -1.412 -1.818
1.306 -4.543 -0.440
4.062 -3.387 0.558
1.378 -1.526 0.315
```

This record from Alexandria describes Mg3In2 at its PBEsol-relaxed geometry. The functional is SCAN.

Calculated values
Total DFT energy (no corrections) (eV per atom): -16.432
DFT formation energy (eV per atom): -0.093
Magnetization (μB per cell): 0.0

```
Mg3In2
1.0
-2.702 -0.007 -1.838
-0.207 -1.978 -2.593
-5.826 -9.556 5.697
Mg In
3 2
Cartesian
0.000 0.000 0.000
-2.899 -4.196 1.374
-5.835 -7.346 -0.108
-5.834 -8.457 2.800
-2.901 -3.085 -1.534
```

This record from Alexandria describes MgIn5 at its PBEsol-relaxed geometry. The functional is SCAN.

Calculated values
Total DFT energy (no corrections) (eV per atom): -28.634
DFT formation energy (eV per atom): 0.017
Magnetization (μB per cell): 0.0

```
MgIn5
1.0
-2.598 3.801 -2.597
-4.056 -3.744 -1.421
-0.450 2.993 4.830
In Mg
5 1
Cartesian
-1.485 -0.248 1.123
-2.720 -2.510 -0.953
-0.301 2.006 3.239
-2.951 2.648 1.448
-4.153 0.402 -0.636
-1.299 1.901 -1.298
```

This record from Alexandria describes MgIn at its PBEsol-relaxed geometry. The functional is SCAN.

Calculated values
Total DFT energy (no corrections) (eV per atom): -19.345
DFT formation energy (eV per atom): -0.165
Magnetization (μB per cell): 0.0

```
MgIn
1.0
-2.204 0.758 2.700
2.025 -1.947 2.199
1.941 2.891 0.773
Mg In
1 1
Cartesian
0.000 0.000 0.000
0.881 0.851 2.836
```